(1)
A relaxed TlSi2C crystal, computed with PBE.

Structure (POSCAR):
```
TlSi2C
1.0
0.0000 3.2499 3.2499
3.2499 0.0000 3.2499
3.2499 3.2499 0.0000
Tl Si C
1 2 1
direct
0.0000 0.0000 0.0000
0.2500 0.2500 0.2500
0.7500 0.7500 0.7500
0.5000 0.5000 0.5000
```

Properties
**Total energy**: -3.74 eV/atom
**N(E_F)**: 2.78 states/eV/cell
**ΔE_f (raw)**: 1.870 eV per atom
**Excess energy over the best structure of this formula in the dataset**: 1242 meV/atom

(2)
A relaxed TiNbSn4 crystal, computed with PBE.

Structure (POSCAR):
```
TiNbSn4
1.0
-3.4668 3.4668 5.7126
3.4668 -3.4668 5.7126
3.4668 3.4668 -5.7126
Ti Nb Sn
2 2 8
direct
0.0000 0.0000 0.0000
0.5000 0.5000 0.0000
0.2500 0.2500 0.0000
0.7500 0.7500 0.0000
0.0272 0.5272 0.8174
0.2098 0.0272 0.5000
0.2902 0.7902 0.8174
0.4728 0.2902 0.5000
0.5272 0.7098 0.5000
0.7098 0.2098 0.1826
0.7902 0.9728 0.5000
0.9728 0.4728 0.1826
```

Properties
**Total energy**: -5.82 eV/atom
**N(E_F)**: 7.96 states/eV/cell
**ΔH_f (0 K)**: -3.5 kcal/mol of atoms